ScFeCo2Se | PBE | relaxed

Results
Crystal system: tetragonal
E in eV/atom: -5.980
E_form (uncorrected) in eV per atom: 0.52

Unit cell a=4.3139 b=4.9058 c=4.3139 alpha=90.00 beta=90.00 gamma=90.00
Last column: nearest neighbours and their distance in Å.
Element x y z (fractional)
1 Fe 0.5000 0.5000 0.5000  4 Sc 3.05, 8 Co 3.27
2 Co 0.5000 0.0000 0.0000  2 Se 2.16
3 Co 0.0000 0.0000 0.5000  2 Se 2.16
4 Sc 0.0000 0.5000 0.0000  2 Se 2.45
5 Se 0.0000 0.0000 0.0000  4 Co 2.16

EuLuHgPb | PBE | relaxed

Results
Crystal system: cubic
E in eV/atom: -5.150
E_form in eV/atom: -0.45

Unit cell a=5.4161 b=5.4161 c=5.4161 alpha=60.00 beta=60.00 gamma=60.00
Last column: nearest neighbours and their distance in Å.
Element x y z (fractional)
1 Pb 0.2500 0.2500 0.2500  4 Eu 3.32, 4 Lu 3.32
2 Hg 0.7500 0.7500 0.7500  4 Eu 3.32, 4 Lu 3.32
3 Lu 0.5000 0.5000 0.5000  4 Hg 3.32, 4 Pb 3.32
4 Eu 0.0000 0.0000 0.0000  4 Hg 3.32, 4 Pb 3.32

ZnRuSe2 | PBE | relaxed

Results
Crystal system: trigonal
E in eV/atom: -4.399
E_form (uncorrected) in eV per atom: -0.02

Unit cell a=9.6480 b=9.6480 c=9.6480 alpha=18.51 beta=18.51 gamma=18.51
Last column: nearest neighbours and their distance in Å.
Element x y z (fractional)
1 Se 0.0277 0.0277 0.0277  3 Ru 2.41
2 Ru 0.7512 0.7512 0.7512  3 Se 2.41
3 Zn 0.4904 0.4904 0.4904  3 Ru 2.73, 3 Se 2.76
4 Se 0.2307 0.2307 0.2307  3 Zn 2.76

Which of these has the highest E?
ZnRuSe2

The highest E belongs to which entry?
ZnRuSe2